No. 1
Density functional theory data (PBE) for a geometry-optimized TbDy2Pd structure.

Calculated values
total magnetization = 0.00 μB per formula unit
V = 108.01 Å³/f.u.
energy above the most stable polymorph in this dataset = 0.0626 eV/atom
energy of formation from the pure elements = -1.6 eV/f.u.

Structure (CIF):
```
data_TbDy2Pd
_chemical_formula_sum 'Tb1 Dy2 Pd1'
_symmetry_space_group_name_H-M 'P 4/m m m'
_symmetry_Int_Tables_number 123
_symmetry_space_group_name_Hall '-P 4 2'
_cell_length_a 3.582
_cell_length_b 3.582
_cell_length_c 8.418
_cell_angle_alpha 90.00
_cell_angle_beta 90.00
_cell_angle_gamma 90.00
loop_
_atom_site_label
_atom_site_type_symbol
_atom_site_fract_x
_atom_site_fract_y
_atom_site_fract_z
Tb1 Tb 0.000 0.000 0.000
Dy1 Dy 0.500 0.500 0.302
Pd1 Pd 0.000 0.000 0.500
```

=====

No. 2
Density functional theory data (PBE) for a geometry-optimized TbDyPd4 structure.

Calculated values
total magnetization = 0.00 μB per formula unit
V = 114.42 Å³/f.u.
energy above the most stable polymorph in this dataset = 0.0000 eV/atom
energy of formation from the pure elements = -4.9 eV/f.u.

Structure (CIF):
```
data_TbDyPd4
_chemical_formula_sum 'Tb4 Dy4 Pd16'
_symmetry_space_group_name_H-M 'F -4 3 m'
_symmetry_Int_Tables_number 216
_symmetry_space_group_name_Hall 'F -4 2 3'
_cell_length_a 7.706
_cell_length_b 7.706
_cell_length_c 7.706
_cell_angle_alpha 90.00
_cell_angle_beta 90.00
_cell_angle_gamma 90.00
loop_
_atom_site_label
_atom_site_type_symbol
_atom_site_fract_x
_atom_site_fract_y
_atom_site_fract_z
Tb1 Tb 0.000 0.000 0.000
Dy1 Dy 0.250 0.250 0.750
Pd1 Pd 0.125 0.125 0.375
```